Entry 1:
# NaLaC2O6 (SCAN, single point on PBEsol structure)
data_NaLaC2O6
_cell_length_a 5.158
_cell_length_b 6.414
_cell_length_c 7.149
_cell_angle_alpha 90.00
_cell_angle_beta 90.00
_cell_angle_gamma 90.00
_space_group_name_H-M_alt 'P m c 21'
_space_group_IT_number 26
_space_group_name_Hall 'P 2c -2'
loop_
_atom_site_label
_atom_site_type_symbol
_atom_site_fract_x
_atom_site_fract_y
_atom_site_fract_z
_atom_site_occupancy
Na1 Na 0.000 0.020 0.000 1
La1 La 0.500 0.366 0.297 1
C1 C 0.000 0.468 0.967 1
C2 C 0.500 0.086 0.715 1
O1 O 0.000 0.355 0.382 1
O2 O 0.220 0.379 0.005 1
O3 O 0.287 0.010 0.252 1
O4 O 0.500 0.268 0.636 1
# Magnetization   0.00 μB/atom
# E_form (uncorrected)   -2339 meV per atom
# E   -12.830 eV/atom
# D(E_F)   0.0000 states/eV per atom

=====

Entry 2:
# LaNbC2 (SCAN, single point on PBEsol structure)
data_LaNbC2
_cell_length_a 5.998
_cell_length_b 5.998
_cell_length_c 5.998
_cell_angle_alpha 90.00
_cell_angle_beta 90.00
_cell_angle_gamma 90.00
_space_group_name_H-M_alt 'F m -3 m'
_space_group_IT_number 225
_space_group_name_Hall '-F 4 2 3'
loop_
_atom_site_label
_atom_site_type_symbol
_atom_site_fract_x
_atom_site_fract_y
_atom_site_fract_z
_atom_site_occupancy
La1 La 0.000 0.000 0.000 1
Nb1 Nb 0.000 0.000 0.500 1
C1 C 0.250 0.250 0.250 1
# Magnetization   0.00 μB/atom
# E   -23.153 eV/atom
# Formation energy   0.955 eV per atom
# D(E_F)   0.7882 states/eV per atom